[1]
{
  "formula": "CdCu2O4",
  "functional": "PBE",
  "state": "relaxed",
  "energy_ev_per_cell": -66.73,
  "formation_energy_uncorrected_mev_per_atom": -632,
  "lattice": [[5.150, 0.000, -2.043], [-0.811, 5.086, -2.043], [-0.158, -0.186, 7.112]],
  "species": ["O", "Cu", "O", "Cu", "O", "Cd", "O", "O", "O", "Cu", "O", "Cd", "Cu", "O"],
  "fractional_positions": [[0.634, 0.913, 0.268], [0.875, 0.125, 0.250], [0.105, 0.884, 0.768], [0.375, 0.125, 0.250], [0.116, 0.337, 0.232], [0.250, 0.750, 0.500], [0.087, 0.366, 0.732], [0.663, 0.884, 0.768], [0.116, 0.895, 0.232], [0.875, 0.125, 0.750], [0.645, 0.366, 0.732], [0.500, 0.500, 0.000], [0.875, 0.625, 0.750], [0.634, 0.355, 0.268]]
}

=====

[2]
{
  "formula": "HfPaPb",
  "functional": "PBE",
  "state": "relaxed",
  "energy_ev_per_cell": -22.45,
  "polymorph_energy_mev_per_atom": 187,
  "formation_energy_ev_per_atom": 0.237,
  "dos_at_fermi_per_ev_atom": 1.785,
  "lattice": [[3.179, 0.000, 0.000], [0.000, 5.268, 0.000], [0.000, -2.634, 4.562]],
  "species": ["Hf", "Pa", "Pb"],
  "fractional_positions": [[0.167, 0.333, 0.667], [0.667, 0.667, 0.333], [0.166, 0.000, 0.000]]
}

=====

[3]
{
  "formula": "Sm2Ho4Sc5",
  "functional": "PBE",
  "state": "relaxed",
  "energy_ev_per_cell": -57.72,
  "polymorph_energy_mev_per_atom": 17,
  "formation_energy_ev_per_atom": 0.153,
  "dos_at_fermi_per_ev_atom": 1.795,
  "lattice": [[-0.552, 4.953, -4.749], [-3.858, -0.517, -5.081], [-6.151, 6.541, 2.547]],
  "species": ["Sc", "Sc", "Sm", "Sc", "Ho", "Ho", "Sc", "Sm", "Ho", "Sc", "Ho"],
  "fractional_positions": [[0.772, 0.780, 0.218], [0.228, 0.220, 0.782], [0.795, 0.302, 0.109], [0.769, 0.220, 0.782], [0.312, 0.244, 0.132], [0.325, 0.826, 0.524], [0.231, 0.780, 0.218], [0.205, 0.698, 0.891], [0.688, 0.756, 0.868], [0.000, 0.500, 0.500], [0.675, 0.174, 0.476]]
}

=====

[4]
{
  "formula": "Ce2Nd3SmDy6",
  "functional": "PBE",
  "state": "relaxed",
  "energy_ev_per_cell": -57.96,
  "formation_energy_ev_per_atom": 0.046,
  "dos_at_fermi_per_ev_atom": 1.738,
  "lattice": [[6.211, -0.001, 0.004], [-3.105, 5.379, 0.004], [-1.043, -1.807, 11.601]],
  "species": ["Dy", "Dy", "Dy", "Ce", "Nd", "Nd", "Ce", "Dy", "Sm", "Nd", "Dy", "Dy"],
  "fractional_positions": [[0.582, 0.918, 0.754], [0.082, 0.418, 0.246], [0.253, 0.253, 0.754], [0.333, 0.667, 0.000], [0.166, 0.834, 0.500], [0.834, 0.166, 0.500], [0.667, 0.333, 0.000], [0.747, 0.747, 0.246], [0.000, 0.000, 0.000], [0.500, 0.500, 0.500], [0.418, 0.082, 0.246], [0.918, 0.582, 0.754]]
}

=====

[5]
{
  "formula": "K3Ho2SbTe6",
  "functional": "PBE",
  "state": "relaxed",
  "energy_ev_per_cell": -48.63,
  "formation_energy_uncorrected_mev_per_atom": -1101,
  "dos_at_fermi_per_ev_atom": 0.000,
  "lattice": [[-6.212, 3.354, 3.328], [-0.216, -2.001, -7.541], [-0.760, -7.862, 3.454]],
  "species": ["K", "Te", "Sb", "Te", "K", "K", "Ho", "Te", "Te", "Te", "Te", "Ho"],
  "fractional_positions": [[0.500, 0.500, 0.500], [0.735, 0.735, 0.206], [0.000, 0.000, 0.000], [0.265, 0.265, 0.794], [0.834, 0.166, 0.500], [0.166, 0.834, 0.500], [0.667, 0.333, 0.000], [0.402, 0.069, 0.206], [0.931, 0.598, 0.794], [0.598, 0.931, 0.794], [0.069, 0.402, 0.206], [0.333, 0.667, 0.000]]
}

=====

[6]
{
  "formula": "ZnCoTe2",
  "functional": "PBE",
  "state": "relaxed",
  "energy_ev_per_cell": -14.79,
  "formation_energy_uncorrected_mev_per_atom": -31,
  "dos_at_fermi_per_ev_atom": 0.624,
  "lattice": [[3.819, 0.000, 0.000], [0.000, 6.025, -0.066], [0.000, 4.217, 4.294]],
  "species": ["Te", "Zn", "Te", "Co"],
  "fractional_positions": [[0.000, 0.605, 0.605], [0.500, 0.250, 0.250], [0.000, 0.895, 0.895], [0.500, 0.750, 0.750]]
}

=====

[7]
{
  "formula": "DyGaIrRu",
  "functional": "PBE",
  "state": "relaxed",
  "energy_ev_per_cell": -27.48,
  "formation_energy_ev_per_atom": -0.428,
  "dos_at_fermi_per_ev_atom": 1.017,
  "lattice": [[-1.729, 0.159, 4.224], [-2.726, -3.352, 1.479], [1.487, -2.914, 3.187]],
  "species": ["Ga", "Ir", "Dy", "Ru"],
  "fractional_positions": [[0.500, 0.500, 0.500], [0.250, 0.250, 0.250], [0.000, 0.000, 0.000], [0.750, 0.750, 0.750]]
}

=====

[8]
{
  "formula": "Ga2Ag",
  "functional": "PBE",
  "state": "relaxed",
  "energy_ev_per_cell": -8.76,
  "formation_energy_ev_per_atom": 0.050,
  "dos_at_fermi_per_ev_atom": 0.343,
  "lattice": [[-3.164, -0.158, -0.981], [-0.895, -0.969, 3.043], [1.379, 5.343, 0.300]],
  "species": ["Ag", "Ga", "Ga"],
  "fractional_positions": [[0.000, 0.000, 0.000], [0.334, 0.334, 0.668], [0.666, 0.666, 0.332]]
}